The following is a DFT calculation (GGA-PBE) of a relaxed structure of Rb3ErTm2S6.

Calculated values
For the density of states at the Fermi level, the calculation gives 0.00 states/eV/cell. For the raw formation energy, the calculation gives -1853 meV/atom. The calculation puts the total energy at -126.81 eV for the cell shown.

Cell and atoms, written as CIF:
```
data_Rb3ErTm2S6
_chemical_formula_sum 'Rb6 Er2 Tm4 S12'
_cell_length_a 6.9845
_cell_length_b 12.0972
_cell_length_c 8.0207
_cell_angle_alpha 90.00
_cell_angle_beta 106.88
_cell_angle_gamma 90.00
_space_group_name_H-M_alt 'C 1 2/m 1'
_space_group_IT_number 12
loop_
_space_group_symop_operation_xyz
'x,y,z'
'-x,-y,-z'
'-x,y,-z'
'x,-y,z'
'x+1/2,y+1/2,z'
'-x+1/2,-y+1/2,-z'
'-x+1/2,y+1/2,-z'
'x+1/2,-y+1/2,z'
loop_
_atom_site_label
_atom_site_fract_x
_atom_site_fract_y
_atom_site_fract_z
Rb1 0.0000 0.0000 0.0000
Rb2 0.0000 0.3334 0.0000
Er1 0.0000 0.5000 0.5000
Tm1 0.0000 0.1667 0.5000
S1 0.2289 0.0000 0.6899
S2 0.2305 0.3328 0.6899
```